Record 1
4
Lattice="-3.662 0.927 -2.409 -2.498 -0.397 3.645 0.546 4.365 0.849" Properties=species:S:1:pos:R:3 comment="LaNiAs2, optimized geometry, DFT PBE" formation_enthalpy_0k_ev_per_atom=-0.71 m_tot_mub_per_fu=0.0 pbc="T T T"
As 0.375 3.804 0.894
La -1.166 1.420 2.320
As -1.729 2.083 -0.736
Ni -3.523 3.936 2.704

---

Record 2
12
Lattice="-0.682 3.471 -1.925 -3.798 -1.138 -0.711 -6.681 7.686 12.030" Properties=species:S:1:pos:R:3 comment="TbGe2Bi2Pt7, optimized geometry, DFT PBE" formation_enthalpy_0k_ev_per_atom=-0.57 m_tot_mub_per_fu=0.0 pbc="T T T"
Pt -2.240 1.167 -1.318
Pt -6.393 8.502 9.189
Ge -7.862 7.304 7.552
Pt -7.167 6.277 5.436
Pt -7.952 6.196 9.796
Bi -4.808 4.937 6.403
Pt -4.768 1.517 0.205
Pt -3.994 3.742 3.957
Bi -6.353 5.082 2.990
Pt -3.209 3.823 -0.403
Tb 0.000 0.000 0.000
Ge -3.299 2.715 1.841

---

Record 3
5
Lattice="4.412 0.000 0.000 0.000 4.412 0.000 0.000 0.000 3.758" Properties=species:S:1:pos:R:3 comment="GaRhOF2, optimized geometry, DFT PBE" e_form_raw_mev_per_atom=-1023 m_tot_mub_per_fu=0.0 pbc="T T T"
F 0.000 2.206 0.000
O 0.000 0.000 1.879
Rh 0.000 0.000 0.000
F 2.206 0.000 0.000
Ga 2.206 2.206 1.879